A plane-wave DFT calculation with PBE was carried out for a geometry-optimized CrCoHg4 structure.

Lattice parameters (Å, degrees): 5.682 5.682 5.682 60.00 60.00 60.00
Fractional positions:
Cr  0.000  0.000  0.000
Co  0.250  0.250  0.250
Hg  0.125  0.625  0.625
Hg  0.625  0.125  0.625
Hg  0.625  0.625  0.125
Hg  0.625  0.625  0.625

Summary:
ρ: 11.69 g/cm³
Energy of formation from the pure elements: 811 meV per atom

***

A plane-wave DFT calculation with PBE was carried out for a geometry-optimized Tb4GaRh4 structure.

Lattice parameters (Å, degrees): 8.495 8.495 5.527 90.00 90.00 90.00
Fractional positions:
Tb  0.047  0.683  0.121
Tb  0.183  0.953  0.621
Tb  0.317  0.547  0.621
Tb  0.453  0.817  0.121
Tb  0.547  0.183  0.879
Tb  0.683  0.453  0.379
Tb  0.817  0.047  0.379
Tb  0.953  0.317  0.879
Ga  0.250  0.250  0.250
Ga  0.750  0.750  0.750
Rh  0.003  0.362  0.379
Rh  0.138  0.003  0.121
Rh  0.362  0.497  0.121
Rh  0.497  0.138  0.379
Rh  0.503  0.862  0.621
Rh  0.638  0.503  0.879
Rh  0.862  0.997  0.879
Rh  0.997  0.638  0.621

Summary:
ρ: 9.30 g/cm³
Energy of formation from the pure elements: -702 meV per atom

***

A plane-wave DFT calculation with PBE was carried out for a geometry-optimized Ac2NiPd structure.

Lattice parameters (Å, degrees): 9.271 9.271 9.271 25.71 25.71 25.71
Fractional positions:
Ac  0.104  0.104  0.104
Ac  0.896  0.896  0.896
Ni  0.500  0.500  0.500
Pd  0.000  0.000  0.000

Summary:
ρ: 7.78 g/cm³
Energy of formation from the pure elements: 32 meV per atom

***

A plane-wave DFT calculation with PBE was carried out for a geometry-optimized TlSn4S8 structure.

Lattice parameters (Å, degrees): 7.866 7.866 7.866 60.00 60.00 60.00
Fractional positions:
Tl  0.000  0.000  0.000
Sn  0.146  0.618  0.618
Sn  0.618  0.146  0.618
Sn  0.618  0.618  0.146
Sn  0.618  0.618  0.618
S  0.380  0.380  0.380
S  0.380  0.380  0.859
S  0.380  0.859  0.380
S  0.413  0.862  0.862
S  0.859  0.380  0.380
S  0.862  0.413  0.862
S  0.862  0.862  0.413
S  0.862  0.862  0.862

Summary:
ΔE to the lowest computed polymorph: 131 meV/atom
ρ: 4.52 g/cm³

***

A plane-wave DFT calculation with PBE was carried out for a geometry-optimized CaSmTlCu structure.

Lattice parameters (Å, degrees): 5.270 5.270 5.270 60.00 60.00 60.00
Fractional positions:
Ca  0.000  0.000  0.000
Sm  0.500  0.500  0.500
Tl  0.750  0.750  0.750
Cu  0.250  0.250  0.250

Summary:
ρ: 7.36 g/cm³
Energy of formation from the pure elements: -238 meV per atom

***

A plane-wave DFT calculation with PBE was carried out for a geometry-optimized Mg3CoTe structure.

Lattice parameters (Å, degrees): 4.858 4.858 4.858 90.00 90.00 90.00
Fractional positions:
Mg  0.000  0.000  0.500
Mg  0.000  0.500  0.000
Mg  0.500  0.000  0.000
Co  0.000  0.000  0.000
Te  0.500  0.500  0.500

Summary:
ΔE to the lowest computed polymorph: 0 meV/atom
ρ: 3.76 g/cm³

***

The lowest ρ belongs to which entry? Mg3CoTe